Density functional theory data (SCAN) for a PBEsol-optimized structure of Mn2CrSi.

Values from the calculation:
Space group: No. 44
Calculated total energy, eV per cell: -65.9
Crystal system: orthorhombic
E_form (uncorrected), eV per formula unit: -0.983
Magnetic moment, μB/f.u.: 0.00

Structure (POSCAR):
```
Mn2CrSi
1.0
-1.416 1.898 3.948
1.416 -1.898 3.948
1.416 1.898 -3.948
Mn Cr Si
2 1 1
direct
0.000 0.000 0.000 Mn
0.747 0.247 0.500 Mn
0.501 0.501 0.000 Cr
0.247 0.747 0.500 Si
```